First-principles (PBE-GGA) data for a relaxed LaEuSnPt crystal, as listed in Alexandria via LeMat-Bulk.

Summary:
The spin magnetization comes out at 1.72 μB per atom. As for the total energy: -28.3 eV for the cell shown. Its volume is 109.0 Å³ per cell.

Cell lengths 5.3614, 5.3614, 5.3614 Å; angles 60.00, 60.00, 60.00 degrees
With the nearest neighbours (Å) after each atom.
Fractional positions:
La  0.0000  0.0000  0.0000  4 Sn 3.28, 4 Pt 3.28
Eu  0.5000  0.5000  0.5000  4 Sn 3.28, 4 Pt 3.28
Sn  0.7500  0.7500  0.7500  4 Eu 3.28, 4 La 3.28
Pt  0.2500  0.2500  0.2500  4 Eu 3.28, 4 La 3.28